# 1
# Zr2CdInTe

A relaxed Zr2CdInTe crystal (GGA-PBEsol, Alexandria via LeMat-Bulk).

abc: 4.8783 5.3344 5.3344
angles: 90.00 90.00 90.00
With the nearest neighbours (Å) after each atom.
Fractional coordinates of all 5 atoms:
Cd 0.0000 0.0000 0.0000  2 In 2.44, 4 Zr 2.67
Te 0.5000 0.5000 0.5000  8 Zr 3.61, 4 In 3.77
Zr 0.0000 0.0000 0.5000  2 Cd 2.67
Zr 0.0000 0.5000 0.0000  2 Cd 2.67
In 0.5000 0.0000 0.0000  2 Cd 2.44

Results
Its space group is P4/mmm. As for the total magnetization: 0.193 μB per atom. Its volume is 27.76 Å³/atom. Its uncorrected formation energy is 0.76 eV per atom.

---

# 2
# TlCd2In

A relaxed TlCd2In crystal (GGA-PBEsol, Alexandria via LeMat-Bulk).

abc: 4.6037 4.6037 5.5775
angles: 114.37 114.37 90.00
With the nearest neighbours (Å) after each atom.
Fractional coordinates of all 4 atoms:
Tl 0.2500 0.7500 0.5000  8 Cd 3.23-3.26, 4 In 3.23
In 0.5000 0.5000 0.0000  8 Cd 3.23-3.26, 4 Tl 3.23
Cd 0.0000 0.0000 0.0000  4 Tl 3.23, 4 Cd 3.23, 4 In 3.26
Cd 0.7500 0.2500 0.5000  4 Cd 3.23, 4 In 3.23, 4 Tl 3.26

Results
For the offset from the most stable computed form, the calculation gives 32 meV/atom. Its space group is I-4m2. As for the total magnetization: 0.000 μB per atom. Its volume is 24.00 Å³/atom.